Here is crystalline SrFeAsF at its relaxed geometry from Alexandria. Energies are from PBE with a Hubbard U.

Cell and atoms, written as POSCAR:
```
SrFeAsF
1.0
4.146 0.000 0.000
0.000 4.146 0.000
0.000 0.000 9.421
Sr Fe As F
2 2 2 2
direct
0.250 0.250 0.150 Sr
0.750 0.750 0.850 Sr
0.250 0.750 0.500 Fe
0.750 0.250 0.500 Fe
0.250 0.250 0.672 As
0.750 0.750 0.328 As
0.250 0.750 0.000 F
0.750 0.250 0.000 F
```

Crystal system: tetragonal
DFT total energy in eV/atom: -5.167
Fermi-level density of states in states/eV/cell: 1.1